[1]
A relaxed Ga2TcGe2 crystal, computed with GGA-PBE.

Calculated values
Offset from the most stable computed form in kJ per mole of atoms: 0.0
Space group: No. 139
Total moment in μB/atom: 0.00

abc: 7.569 7.569 7.569
angles: 153.48 153.48 37.86
Fractional coordinates of all 5 atoms:
1 Ge 0.409 0.409 0.000
2 Ge 0.591 0.591 0.000
3 Ga 0.250 0.750 0.500
4 Ga 0.750 0.250 0.500
5 Tc 0.000 0.000 0.000

***

[2]
A relaxed Ga2TcGe crystal, computed with GGA-PBE.

Calculated values
Space group: No. 216
Total moment in μB/atom: 0.01

abc: 4.479 4.479 4.479
angles: 60.00 60.00 60.00
Fractional coordinates of all 4 atoms:
1 Ga 0.750 0.750 0.750
2 Ga 0.500 0.500 0.500
3 Ge 0.250 0.250 0.250
4 Tc 0.000 0.000 0.000

***

[3]
A relaxed Ga2TcGe2 crystal, computed with GGA-PBE.

Calculated values
Offset from the most stable computed form in kJ per mole of atoms: 5.9
Space group: No. 139
Total moment in μB/atom: 0.00

abc: 3.525 3.525 7.397
angles: 103.78 103.78 90.00
Fractional coordinates of all 5 atoms:
1 Ge 0.750 0.250 0.500
2 Ge 0.250 0.750 0.500
3 Tc 0.000 0.000 0.000
4 Ga 0.588 0.588 0.176
5 Ga 0.412 0.412 0.824

***

[4]
A relaxed GaTcGe2 crystal, computed with GGA-PBE.

Calculated values
Space group: No. 216
Total moment in μB/atom: 0.05

abc: 4.518 4.518 4.518
angles: 60.00 60.00 60.00
Last column: magnetic moment on the atom in μB.
Fractional coordinates of all 4 atoms:
1 Ge 0.500 0.500 0.500  0.00
2 Ge 0.750 0.750 0.750  -0.01
3 Ga 0.250 0.250 0.250  0.00
4 Tc 0.000 0.000 0.000  0.17

***

[5]
A relaxed GaTcGe crystal, computed with GGA-PBE.

Calculated values
Offset from the most stable computed form in kJ per mole of atoms: 0.0
Space group: No. 107
Total moment in μB/atom: 0.00

abc: 4.742 4.742 4.742
angles: 139.70 139.70 58.31
Fractional coordinates of all 3 atoms:
1 Ga 0.619 0.619 0.000
2 Tc 0.288 0.288 0.000
3 Ge 0.943 0.943 0.000

***

[6]
A relaxed GaTcGe crystal, computed with GGA-PBE.

Calculated values
Offset from the most stable computed form in kJ per mole of atoms: 40.6
Space group: No. 216
Total moment in μB/atom: 0.00

abc: 4.202 4.202 4.202
angles: 60.00 60.00 60.00
Fractional coordinates of all 3 atoms:
1 Ga 0.250 0.250 0.250
2 Tc 0.000 0.000 0.000
3 Ge 0.750 0.750 0.750

***

[7]
A relaxed GaTcGe crystal, computed with GGA-PBE.

Calculated values
Offset from the most stable computed form in kJ per mole of atoms: 60.1
Space group: No. 216
Total moment in μB/atom: 0.00

abc: 4.174 4.174 4.174
angles: 60.00 60.00 60.00
Fractional coordinates of all 3 atoms:
1 Ga 0.250 0.250 0.250
2 Ge 0.000 0.000 0.000
3 Tc 0.750 0.750 0.750

***

[8]
A relaxed Tm2GaGe crystal, computed with GGA-PBE.

Calculated values
Space group: No. 38
Total moment in μB/atom: 0.00

abc: 3.992 5.710 5.710
angles: 42.51 90.00 90.00
Fractional coordinates of all 4 atoms:
1 Tm 0.000 0.860 0.860
2 Tm 0.500 0.139 0.139
3 Ge 0.500 0.419 0.419
4 Ga 0.000 0.581 0.581

***

[9]
A relaxed TmGaGe crystal, computed with GGA-PBE.

Calculated values
Space group: No. 189
Total moment in μB/atom: 0.01

abc: 7.568 7.568 3.936
angles: 90.00 90.00 120.00
Fractional coordinates of all 9 atoms:
1 Ge 0.333 0.667 0.000
2 Ge 0.000 0.000 0.500
3 Ge 0.667 0.333 0.000
4 Tm 0.276 0.000 0.000
5 Tm 0.724 0.724 0.000
6 Tm 0.000 0.276 0.000
7 Ga 0.596 0.000 0.500
8 Ga 0.000 0.596 0.500
9 Ga 0.404 0.404 0.500

***

[10]
A relaxed TmGaGe crystal, computed with GGA-PBE.

Calculated values
Space group: No. 189
Total moment in μB/atom: 0.00

abc: 7.188 7.188 4.065
angles: 90.00 90.00 120.00
Fractional coordinates of all 9 atoms:
1 Ge 0.667 0.333 0.000
2 Ge 0.000 0.000 0.500
3 Ge 0.333 0.667 0.000
4 Tm 0.388 0.388 0.500
5 Tm 0.612 0.000 0.500
6 Tm 0.000 0.612 0.500
7 Ga 0.266 0.000 0.000
8 Ga 0.000 0.266 0.000
9 Ga 0.734 0.734 0.000

***

[11]
A relaxed Tm2GaGe crystal, computed with GGA-PBE.

Calculated values
Space group: No. 11
Total moment in μB/atom: 0.00

abc: 5.720 3.944 8.311
angles: 90.00 107.76 90.00
Fractional coordinates of all 8 atoms:
1 Tm 0.706 0.250 0.428
2 Tm 0.789 0.750 0.068
3 Tm 0.294 0.750 0.572
4 Tm 0.211 0.250 0.932
5 Ga 0.873 0.750 0.709
6 Ga 0.127 0.250 0.291
7 Ge 0.370 0.750 0.208
8 Ge 0.630 0.250 0.792

***

[12]
A relaxed Tm4GaGe3 crystal, computed with GGA-PBE.

Calculated values
Space group: No. 25
Total moment in μB/atom: 0.00

abc: 3.926 4.233 10.615
angles: 90.00 90.00 90.00
Fractional coordinates of all 8 atoms:
1 Ge 0.000 0.500 0.413
2 Ge 0.500 0.500 0.585
3 Ge 0.500 0.000 0.083
4 Tm 0.500 0.000 0.361
5 Tm 0.000 0.000 0.639
6 Tm 0.500 0.500 0.861
7 Tm 0.000 0.500 0.140
8 Ga 0.000 0.000 0.918

***

[13]
A relaxed UGa2Ge crystal, computed with GGA-PBE.

Calculated values
Space group: No. 123
Total moment in μB/atom: 0.43

abc: 4.154 4.154 4.367
angles: 90.00 90.00 90.00
Last column: magnetic moment on the atom in μB.
Fractional coordinates of all 4 atoms:
1 Ga 0.000 0.500 0.000  0.02
2 Ga 0.500 0.000 0.000  0.02
3 U 0.000 0.000 0.500  1.55
4 Ge 0.500 0.500 0.500  -0.02

***

[14]
A relaxed GaGeW crystal, computed with GGA-PBE.

Calculated values
Offset from the most stable computed form in kJ per mole of atoms: 15.2
Space group: No. 216
Total moment in μB/atom: 0.23

abc: 4.243 4.243 4.243
angles: 60.00 60.00 60.00
Fractional coordinates of all 3 atoms:
1 Ga 0.250 0.250 0.250
2 W 0.750 0.750 0.750
3 Ge 0.000 0.000 0.000

***

Total energy, record by record: -23.62, -19.71, -23.32, -20.99, -18.77, -17.51, -16.90, -19.65, -39.31, -41.11, -39.35, -41.24, -23.12, -18.12 eV/cell
Calculated volume, record by record: 86.35, 63.52, 86.53, 65.19, 44.22, 52.48, 51.42, 87.95, 65.07, 60.63, 89.28, 176.41, 75.35, 54.01 Å³/f.u.